Record 1
DFT (PBE-GGA) results for a relaxed structure of MoPtW2.

Output
total magnetization	0.0000	μB per atom
ρ	17.1	g/cm³
formation energy from the elements	0.259	eV per formula unit

Geometry as CIF:
```
data_MoPtW2
_chemical_formula_sum 'Mo1 Pt1 W2'
_symmetry_space_group_name_H-M 'P m m m'
_symmetry_Int_Tables_number 47
_symmetry_space_group_name_Hall '-P 2 2'
_cell_length_a 2.6999
_cell_length_b 4.1434
_cell_length_c 5.7065
_cell_angle_alpha 90.00
_cell_angle_beta 90.00
_cell_angle_gamma 90.00
loop_
_atom_site_label
_atom_site_fract_x
_atom_site_fract_y
_atom_site_fract_z
Mo1 0.0000 0.0000 0.0000
Pt1 0.0000 0.0000 0.5000
W1 0.5000 0.5000 0.2514
```

=====

Record 2
DFT (PBE-GGA) results for a relaxed structure of Mo2PtW.

Output
total magnetization	0.0000	μB per atom
ρ	15.0	g/cm³
formation energy from the elements	-0.020	eV per formula unit

Geometry as CIF:
```
data_Mo2PtW
_chemical_formula_sum 'Mo4 Pt2 W2'
_symmetry_space_group_name_H-M 'I 4/m m m'
_symmetry_Int_Tables_number 139
_symmetry_space_group_name_Hall '-I 4 2'
_cell_length_a 3.9644
_cell_length_b 3.9644
_cell_length_c 8.0377
_cell_angle_alpha 90.00
_cell_angle_beta 90.00
_cell_angle_gamma 90.00
loop_
_atom_site_label
_atom_site_fract_x
_atom_site_fract_y
_atom_site_fract_z
Mo1 0.0000 0.5000 0.2500
Pt1 0.0000 0.0000 0.0000
W1 0.0000 0.0000 0.5000
```

=====

Record 3
DFT (PBE-GGA) results for a relaxed structure of MoPtW2.

Output
total magnetization	0.0000	μB per atom
ρ	17.2	g/cm³
formation energy from the elements	0.081	eV per formula unit

Geometry as CIF:
```
data_MoPtW2
_chemical_formula_sum 'Mo2 Pt2 W4'
_symmetry_space_group_name_H-M 'I -4 m 2'
_symmetry_Int_Tables_number 119
_symmetry_space_group_name_Hall 'I -4 -2'
_cell_length_a 3.9728
_cell_length_b 3.9728
_cell_length_c 8.0452
_cell_angle_alpha 90.00
_cell_angle_beta 90.00
_cell_angle_gamma 90.00
loop_
_atom_site_label
_atom_site_fract_x
_atom_site_fract_y
_atom_site_fract_z
Mo1 0.0000 0.0000 0.0000
Pt1 0.0000 0.5000 0.2500
W1 0.0000 0.0000 0.5000
W2 0.0000 0.5000 0.7500
```

=====

Record 4
DFT (PBE-GGA) results for a relaxed structure of MoPt6W2.

Output
total magnetization	0.0000	μB per atom
ρ	17.7	g/cm³
formation energy from the elements	0.008	eV per formula unit

Geometry as CIF:
```
data_MoPt6W2
_chemical_formula_sum 'Mo2 Pt12 W4'
_symmetry_space_group_name_H-M 'I m m 2'
_symmetry_Int_Tables_number 44
_symmetry_space_group_name_Hall 'I 2 -2'
_cell_length_a 3.9785
_cell_length_b 5.4608
_cell_length_c 14.1086
_cell_angle_alpha 90.00
_cell_angle_beta 90.00
_cell_angle_gamma 90.00
loop_
_atom_site_label
_atom_site_fract_x
_atom_site_fract_y
_atom_site_fract_z
Mo1 0.0000 0.0000 0.0000
Pt1 0.0000 0.2485 0.4155
Pt2 0.0000 0.2524 0.6043
Pt3 0.0000 0.2597 0.7895
W1 0.0000 0.5000 0.0136
W2 0.0000 0.5000 0.2126
```

=====

Which formula does entry 4 have? MoPt6W2